First-principles (PBE) data for a geometry-optimized Ho8HSe4S3 structure, as listed in the Alexandria database.

Cell and atoms, written as POSCAR:
```
Ho8HSe4S3
1.0
-0.0068 -6.0609 -4.9511
-3.5182 -4.5065 5.5214
-3.2912 6.7799 -2.1098
Ho S Se H
8 3 4 1
Cartesian
-4.1197 -1.4829 1.8210 Ho
-1.0149 -5.7708 -2.2822 Ho
-4.1496 -4.4865 -0.6875 Ho
-1.0114 -2.6718 0.2494 Ho
-5.8048 -1.1158 -1.7889 Ho
-5.8013 1.9833 0.7427 Ho
-2.6666 0.6990 -0.8520 Ho
-2.6965 -2.3046 -3.3605 Ho
-3.4047 1.1367 1.7058 S
-1.7625 -5.2837 0.2851 S
-3.4081 -1.8938 -0.7697 S
-1.6456 3.3899 -1.0549 Se
-0.0034 -3.0305 -2.4756 Se
0.0000 0.0000 0.0000 Se
-1.6490 0.3595 -3.5304 Se
-1.7591 -2.2532 2.7607 H
```

Output
E_tot = -5.7667 eV per atom
symmetry = No. 166

=====

First-principles (PBE) data for a geometry-optimized KCrRu structure, as listed in the Alexandria database.

Cell and atoms, written as POSCAR:
```
KCrRu
1.0
6.9691 -0.1675 0.0000
5.6335 4.1062 0.0000
-6.3013 -1.9694 2.2387
Ru Cr K
1 1 1
Cartesian
7.8448 2.4518 0.0000 Ru
0.6259 0.1956 0.0000 Cr
4.1319 1.2914 0.0000 K
```

Output
formation energy from the elements = 0.754 eV/atom
symmetry = No. 107

=====

First-principles (PBE) data for a geometry-optimized ZnCoP2 structure, as listed in the Alexandria database.

Cell and atoms, written as POSCAR:
```
ZnCoP2
1.0
4.7353 -0.0199 0.0284
1.7181 4.4126 -0.0284
-2.7365 -2.9165 2.5357
P Zn Co
2 1 1
Cartesian
2.7464 -0.2790 1.2821 P
0.0353 0.0240 0.0000 P
3.2509 2.2128 0.0000 Zn
0.9111 1.7148 1.2536 Co
```

Output
formation energy from the elements = 0.270 eV/atom
symmetry = No. 44

=====

First-principles (PBE) data for a geometry-optimized AgTe3S structure, as listed in the Alexandria database.

Cell and atoms, written as POSCAR:
```
AgTe3S
1.0
-0.4440 -3.6247 -3.8262
4.8294 1.2581 -1.7523
2.1110 -3.6407 3.2040
Te Ag S
3 1 1
Cartesian
2.4147 0.6291 -0.8761 Te
-0.2220 -1.8124 -1.9131 Te
1.0555 -1.8203 1.6020 Te
3.2482 -3.0036 -1.1873 Ag
0.0000 0.0000 0.0000 S
```

Output
symmetry = No. 221
ΔE_f (raw) = 558 meV/atom

=====

First-principles (PBE) data for a geometry-optimized SiTeP2Cl structure, as listed in the Alexandria database.

Cell and atoms, written as POSCAR:
```
SiTeP2Cl
1.0
-0.1417 0.7937 -5.0437
-4.6913 -2.0117 -0.1847
-2.0065 4.6074 0.7814
Si Cl Te P
1 1 1 2
Cartesian
-3.4198 1.6947 -2.2235 Si
-1.0032 2.3037 0.3907 Cl
0.0000 0.0000 0.0000 Te
-2.3456 -1.0059 -0.0924 P
-0.0709 0.3968 -2.5219 P
```

Output
symmetry = No. 123
ΔE_f (raw) = 1159 meV/atom

=====

First-principles (PBE) data for a geometry-optimized Li2Mg3ZnHg3 structure, as listed in the Alexandria database.

Cell and atoms, written as POSCAR:
```
Li2Mg3ZnHg3
1.0
-2.1791 -1.5717 -1.5902
-0.3707 -5.4276 5.8726
-4.7689 6.4271 0.1829
Hg Zn Mg Li
3 1 3 2
Cartesian
-1.8077 2.4363 0.0693 Hg
-3.1914 0.6206 3.7600 Hg
-0.1405 -2.0574 2.2261 Hg
0.0000 0.0000 0.0000 Zn
-2.5719 -0.4976 0.9513 Mg
-4.4831 3.7877 -0.6649 Mg
-1.3534 -4.6481 3.3838 Mg
-2.9264 -2.2619 3.1809 Li
-4.3924 1.6897 1.2844 Li
```

Output
formation energy from the elements = -0.195 eV/atom
symmetry = No. 189

=====

First-principles (PBE) data for a geometry-optimized ZnOsCl3 structure, as listed in the Alexandria database.

Cell and atoms, written as POSCAR:
```
ZnOsCl3
1.0
-2.3241 2.3495 -3.5135
0.0270 -4.0013 -2.6935
-4.2266 -1.3175 1.9148
Cl Os Zn
3 1 1
Cartesian
-1.1620 1.1747 -1.7567 Cl
0.0135 -2.0006 -1.3468 Cl
-2.1133 -0.6587 0.9574 Cl
0.0000 0.0000 0.0000 Os
-3.2619 -1.4846 -2.1461 Zn
```

Output
symmetry = No. 221
ΔE_f (raw) = 280 meV/atom

=====

First-principles (PBE) data for a geometry-optimized Tb3Nd2Al3 structure, as listed in the Alexandria database.

Cell and atoms, written as POSCAR:
```
Tb3Nd2Al3
1.0
-1.3707 1.0002 -3.3294
4.7243 -0.4012 -2.0655
-3.6180 -10.8912 0.3147
Tb Al Nd
3 3 2
Cartesian
-1.4896 -8.1274 -1.8284 Tb
1.2252 -2.1648 -3.2519 Tb
-0.6854 0.5001 -1.6647 Tb
-0.4389 -2.3948 -0.5388 Al
2.3622 -0.2006 -1.0328 Al
0.1745 -7.8974 -4.5415 Al
-1.5717 -4.3360 -2.7527 Nd
1.3073 -5.9561 -2.3276 Nd
```

Output
formation energy from the elements = -0.271 eV/atom
symmetry = No. 71

=====

First-principles (PBE) data for a geometry-optimized Ce3P3Ru2 structure, as listed in the Alexandria database.

Cell and atoms, written as POSCAR:
```
Ce3P3Ru2
1.0
4.0593 0.0000 0.0000
-2.0297 5.4510 0.0000
0.0000 0.0000 13.8264
Ru P Ce
4 6 6
Cartesian
0.0000 2.4981 1.0743 Ru
2.0297 2.9529 12.7521 Ru
2.0297 2.9529 7.9875 Ru
0.0000 2.4981 5.8389 Ru
2.0297 1.3164 0.6903 P
2.0297 1.8591 10.3698 P
0.0000 3.5919 3.4566 P
0.0000 4.1347 13.1361 P
2.0297 1.3164 6.2229 P
0.0000 4.1347 7.6035 P
2.0297 1.4938 3.4566 Ce
0.0000 3.9572 10.3698 Ce
2.0297 4.6610 5.3559 Ce
2.0297 4.6610 1.5573 Ce
0.0000 0.7900 8.4705 Ce
0.0000 0.7900 12.2691 Ce
```

Output
formation energy from the elements = -1.060 eV/atom
symmetry = No. 63

=====

First-principles (PBE) data for a geometry-optimized BaLaAs2 structure, as listed in the Alexandria database.

Cell and atoms, written as POSCAR:
```
BaLaAs2
1.0
0.0000 3.8754 3.8754
3.8754 0.0000 3.8754
3.8754 3.8754 0.0000
Ba As La
1 2 1
Cartesian
0.0000 0.0000 0.0000 Ba
5.8132 5.8132 5.8132 As
1.9377 1.9377 1.9377 As
3.8754 3.8754 3.8754 La
```

Output
formation energy from the elements = -0.945 eV/atom
symmetry = No. 225

=====

First-principles (PBE) data for a geometry-optimized CePm4Rh4 structure, as listed in the Alexandria database.

Cell and atoms, written as POSCAR:
```
CePm4Rh4
1.0
4.7216 0.0000 1.1160
1.6672 6.5711 3.4925
0.5714 2.3235 8.1286
Pm Rh Ce
4 4 1
Cartesian
5.8070 6.1737 7.0699 Pm
2.8837 5.8185 8.8920 Pm
1.1532 2.7208 5.6671 Pm
4.0765 3.0761 3.8450 Pm
1.8155 1.2873 2.8650 Rh
5.2545 3.9817 9.4075 Rh
5.1447 7.6073 9.8720 Rh
1.7057 4.9129 3.3295 Rh
2.3608 0.0000 0.5580 Ce
```

Output
formation energy from the elements = -0.639 eV/atom
symmetry = No. 12

=====

First-principles (PBE) data for a geometry-optimized AlTe2Cl structure, as listed in the Alexandria database.

Cell and atoms, written as POSCAR:
```
AlTe2Cl
1.0
-3.4187 -0.2674 -0.3080
-0.2567 -0.6090 3.3789
-0.8409 8.9634 1.5516
Te Cl Al
2 1 1
Cartesian
-2.0834 2.1801 1.9887 Te
-0.0451 0.4804 0.0832 Te
-2.3919 5.4689 2.5580 Cl
-0.4164 4.4387 0.7684 Al
```

Output
symmetry = No. 99
ΔE_f (raw) = -21 meV/atom